[1]
Material: TlAg2Hg
Method: DFT, PBE-GGA
State: optimized geometry Values from VASP.

Structure (Quantum ESPRESSO input):
```
&SYSTEM
  ibrav = 0, nat = 4, ntyp = 3
/
ATOMIC_SPECIES
Tl 204.38 Tl.upf
Ag 107.87 Ag.upf
Hg 200.59 Hg.upf
CELL_PARAMETERS angstrom
1.6481 0.9515 9.4670
-1.6481 0.9515 9.4670
0.0000 -1.9031 9.4670
ATOMIC_POSITIONS crystal
Tl 0.0000 0.0000 0.0000
Ag 0.2477 0.2477 0.2477
Ag 0.7523 0.7523 0.7523
Hg 0.5000 0.5000 0.5000
```

Output
Its space-group type is R-3m (166). The formation energy comes out at 148 meV/atom.



[2]
Material: VInH
Method: DFT, PBE-GGA
State: optimized geometry Values from VASP.

Structure (Quantum ESPRESSO input):
```
&SYSTEM
  ibrav = 0, nat = 3, ntyp = 3
/
ATOMIC_SPECIES
V 50.94 V.upf
In 114.82 In.upf
H 1.01 H.upf
CELL_PARAMETERS angstrom
3.0976 0.0000 0.0000
-1.5488 2.6826 0.0000
0.0000 0.0000 4.5813
ATOMIC_POSITIONS crystal
V 0.0000 0.0000 0.0000
In 0.3333 0.6667 0.5000
H 0.6667 0.3333 0.0000
```

Output
The calculation puts the energy above the lowest structure with this stoichiometry at 0.0 meV/atom. Its space-group type is P-6m2 (187).



[3]
Material: KZr2P
Method: DFT, PBE-GGA
State: optimized geometry Values from VASP.

Structure (Quantum ESPRESSO input):
```
&SYSTEM
  ibrav = 0, nat = 8, ntyp = 3
/
ATOMIC_SPECIES
K 39.10 K.upf
Zr 91.22 Zr.upf
P 30.97 P.upf
CELL_PARAMETERS angstrom
-2.6507 2.6507 9.2881
2.6507 -2.6507 9.2881
2.6507 2.6507 -9.2881
ATOMIC_POSITIONS crystal
K 0.0000 0.0000 0.0000
K 0.7500 0.2500 0.5000
Zr 0.3648 0.6250 0.2398
Zr 0.3750 0.6148 0.7398
Zr 0.3852 0.1250 0.7602
Zr 0.8750 0.6352 0.2602
P 0.2500 0.7500 0.5000
P 0.5000 0.5000 0.0000
```

Output
Its space-group type is I-42d (122). The formation energy comes out at 399 meV/atom.



[4]
Material: SiPS2Cl
Method: DFT, PBE-GGA
State: optimized geometry Values from VASP.

Structure (Quantum ESPRESSO input):
```
&SYSTEM
  ibrav = 0, nat = 5, ntyp = 4
/
ATOMIC_SPECIES
Si 28.09 Si.upf
P 30.97 P.upf
S 32.06 S.upf
Cl 35.45 Cl.upf
CELL_PARAMETERS angstrom
4.3841 0.0000 0.0000
0.0000 4.3841 0.0000
0.0000 0.0000 4.9930
ATOMIC_POSITIONS crystal
Si 0.0000 0.0000 0.0000
P 0.0000 0.0000 0.5000
S 0.0000 0.5000 0.0000
S 0.5000 0.0000 0.0000
Cl 0.5000 0.5000 0.5000
```

Output
The calculation puts the energy above the lowest structure with this stoichiometry at 72.1 meV/atom. Its space-group type is P4/mmm (123). The formation energy from raw total energies is 550 meV per atom.